No. 1
5
Lattice="4.851 0.000 0.000 0.000 4.851 0.000 0.000 0.000 4.951" Properties=species:S:1:pos:R:3 comment="NaLiCoSn2 (GGA-PBE, optimized geometry)" dft_energy_ev_per_atom=-3.7240 sg=P4/mmm magnetic_moment_mub_per_fu=0.01 pbc="T T T"
Li 0.000 0.000 2.475
Sn 2.426 0.000 0.000
Sn 0.000 2.426 0.000
Na 2.426 2.426 2.475
Co 0.000 0.000 0.000

No. 2
18
Lattice="-2.527 -0.860 2.399 6.102 0.464 3.910 -2.123 11.639 1.933" Properties=species:S:1:pos:R:3 comment="Ba2InAuO5 (GGA-PBE, optimized geometry)" dft_energy_ev_per_atom=-5.3528 sg=Cmc2_1 formation_energy_uncorrected_mev_per_atom=-1503 magnetic_moment_mub_per_fu=0.00 pbc="T T T"
O 1.242 7.427 3.970
O -1.098 5.255 3.411
O 1.732 6.212 6.735
O -1.560 10.088 4.656
O 2.363 4.709 4.177
O 0.492 0.797 0.804
O -1.680 2.827 1.927
O 0.691 1.175 3.834
O 3.005 9.108 6.430
O 1.540 11.521 5.751
Ba 0.396 8.919 6.297
Ba 0.838 3.516 2.143
Ba 2.340 1.657 5.744
Ba -0.578 7.884 2.216
In 1.987 0.317 2.207
In 0.415 5.712 5.169
Au 3.671 5.214 5.737
Au -3.049 10.573 3.261

DOS at the Fermi energy / states/eV/atom: 0.61 0.05